Computed, not measured: a relaxed structure of Mn3ZnPd4 at the PBE level of DFT.

Properties
Energy relative to the elements   -0.293 eV/atom
VASP energy   -51.9 eV/f.u.
M_tot   1.650 μB per atom

abc: 4.155 4.155 7.510
angles: 106.05 106.06 90.00
Fractional coordinates of all 8 atoms:
Pd (0.624, 0.625, 0.249)
Zn (0.500, 0.000, 0.000)
Pd (0.876, 0.876, 0.751)
Mn (0.000, 0.500, 0.000)
Pd (0.124, 0.124, 0.249)
Mn (0.250, 0.750, 0.501)
Pd (0.376, 0.375, 0.751)
Mn (0.750, 0.250, 0.499)